Density functional theory data (PBE) for CuHgSe after structural relaxation.

abc: 11.623 4.061 7.962
angles: 90.00 116.56 90.00
Space group C2/m (No. 12)
Unique sites:
Cu 0.191 0.000 0.426 (multiplicity 4)
Hg 0.193 0.500 0.062 (multiplicity 4)
Se 0.083 0.500 0.302 (multiplicity 4)

Uncorrected energy in eV per atom: -2.675
DOS at the Fermi energy in states/eV/atom: 0.52
Magnetic moment in μB/atom: 0.00